An optimized crystal structure of Na2Tl3Au2. Source: Alexandria via LeMat-Bulk, functional PBE.

Cell lengths 4.4490, 21.7693, 3.8154 Å; angles 90.00, 90.00, 90.00 degrees
Space group Cmmm (No. 65)
Inequivalent atoms, fractional coordinates:
Na 0.0000 0.1731 0.0000 [4 per cell]
Tl 0.0000 0.0000 0.0000 [2 per cell]
Tl 0.0000 0.4200 0.5000 [4 per cell]
Au 0.0000 0.2886 0.5000 [4 per cell]

- E above lowest polymorph: 0 kJ/mol of formula units
- Crystal system: orthorhombic
- ρ: 9.464 g/cm3
- E_form: -0.177 eV per atom
- Calculated total energy: -35.059 eV for the cell shown

=====

An optimized crystal structure of Na6Tl8Au. Source: Alexandria via LeMat-Bulk, functional PBE.

Cell lengths 8.6629, 8.6629, 20.0527 Å; angles 90.00, 90.00, 120.00 degrees
Space group R-3 (No. 148, hexagonal axes)
Inequivalent atoms, fractional coordinates:
Na 0.0450 0.4441 0.3904 [18 per cell]
Tl 0.0000 0.0000 0.1484 [6 per cell]
Tl 0.0192 0.2351 0.5641 [18 per cell]
Au 0.0000 0.0000 0.0000 [3 per cell]

- Crystal system: trigonal
- ρ: 7.530 g/cm3
- E_form: -0.088 eV per atom
- Calculated total energy: -94.337 eV for the cell shown

=====

An optimized crystal structure of Na7Tl2Au2. Source: Alexandria via LeMat-Bulk, functional PBE.

Cell lengths 13.5213, 9.3190, 5.2047 Å; angles 90.00, 112.51, 90.00 degrees
Space group C2/m (No. 12)
Inequivalent atoms, fractional coordinates:
Na 0.0000 0.0000 0.0000 [2 per cell]
Na 0.1394 0.2883 0.1390 [8 per cell]
Na 0.1502 0.0000 0.6511 [4 per cell]
Tl 0.1550 0.5000 0.6555 [4 per cell]
Au 0.0000 0.2572 0.5000 [4 per cell]

- E above lowest polymorph: 0 kJ/mol of formula units
- Crystal system: monoclinic
- ρ: 5.282 g/cm3
- E_form: -0.142 eV per atom
- Calculated total energy: -44.159 eV for the cell shown

=====

An optimized crystal structure of Na3Tl2Au2. Source: Alexandria via LeMat-Bulk, functional PBE.

Cell lengths 8.8071, 5.0988, 8.2321 Å; angles 90.00, 111.09, 90.00 degrees
Space group C2/m (No. 12)
Inequivalent atoms, fractional coordinates:
Na 0.0000 0.0000 0.0000 [2 per cell]
Na 0.1369 0.0000 0.4088 [4 per cell]
Tl 0.0974 0.5000 0.7937 [4 per cell]
Au 0.2325 0.5000 0.1986 [4 per cell]

- E above lowest polymorph: 0 kJ/mol of formula units
- Crystal system: monoclinic
- ρ: 8.393 g/cm3
- E_form: -0.240 eV per atom
- Calculated total energy: -33.851 eV for the cell shown

=====

An optimized crystal structure of Na12Tl5Au2. Source: Alexandria via LeMat-Bulk, functional PBE.

Cell lengths 22.1971, 9.9967, 4.8709 Å; angles 90.00, 102.65, 90.00 degrees
Space group C2/m (No. 12)
Inequivalent atoms, fractional coordinates:
Na 0.0742 0.0000 0.0742 [4 per cell]
Na 0.0830 0.2317 0.5830 [8 per cell]
Na 0.0951 0.5000 0.0943 [4 per cell]
Na 0.1986 0.2415 0.1988 [8 per cell]
Tl 0.0000 0.5000 0.5000 [2 per cell]
Tl 0.1942 0.5000 0.6924 [4 per cell]
Tl 0.1966 0.0000 0.6978 [4 per cell]
Au 0.0000 0.2769 0.0000 [4 per cell]

- Crystal system: monoclinic
- ρ: 5.328 g/cm3
- E_form: -0.144 eV per atom
- Calculated total energy: -73.910 eV for the cell shown

=====

An optimized crystal structure of Na8Tl2Au. Source: Alexandria via LeMat-Bulk, functional PBE.

Cell lengths 12.5965, 10.6522, 6.0492 Å; angles 90.00, 108.63, 90.00 degrees
Space group C2/m (No. 12)
Inequivalent atoms, fractional coordinates:
Na 0.0772 0.2312 0.3045 [8 per cell]
Na 0.0978 0.5000 0.8184 [4 per cell]
Na 0.2484 0.5000 0.4197 [4 per cell]
Tl 0.1300 0.0000 0.9834 [4 per cell]
Au 0.0000 0.0000 0.5000 [2 per cell]

- E above lowest polymorph: 94 kJ/mol of formula units
- Crystal system: monoclinic
- ρ: 3.410 g/cm3
- E_form: -0.023 eV per atom
- Calculated total energy: -37.641 eV for the cell shown

=====

An optimized crystal structure of Na2Tl3Au2. Source: Alexandria via LeMat-Bulk, functional PBE.

Cell lengths 10.6846, 4.5776, 7.9942 Å; angles 90.00, 106.80, 90.00 degrees
Space group C2/m (No. 12)
Inequivalent atoms, fractional coordinates:
Na 0.1537 0.0000 0.3096 [4 per cell]
Tl 0.0000 0.5000 0.5000 [2 per cell]
Tl 0.1292 0.5000 0.9481 [4 per cell]
Au 0.1474 0.0000 0.7125 [4 per cell]

- E above lowest polymorph: 8 kJ/mol of formula units
- Crystal system: monoclinic
- ρ: 9.343 g/cm3
- E_form: -0.165 eV per atom
- Calculated total energy: -34.899 eV for the cell shown

=====

An optimized crystal structure of NaTlAu2. Source: Alexandria via LeMat-Bulk, functional PBE.

Cell lengths 5.2040, 9.2416, 7.9084 Å; angles 90.00, 90.00, 90.00 degrees
Space group Cmcm (No. 63)
Inequivalent atoms, fractional coordinates:
Na 0.0000 0.0747 0.2500 [4 per cell]
Tl 0.0000 0.4105 0.2500 [4 per cell]
Au 0.0000 0.2617 0.5750 [8 per cell]

- Crystal system: orthorhombic
- ρ: 10.850 g/cm3
- E_form: -0.150 eV per atom
- Calculated total energy: -43.353 eV for the cell shown

=====

An optimized crystal structure of NaTl4Au2. Source: Alexandria via LeMat-Bulk, functional PBE.

Cell lengths 20.6231, 4.1540, 8.8664 Å; angles 90.00, 90.00, 90.00 degrees
Space group Pnma (No. 62)
Inequivalent atoms, fractional coordinates:
Na 0.1419 0.2500 0.0988 [4 per cell]
Tl 0.0208 0.7500 0.8571 [4 per cell]
Tl 0.0782 0.2500 0.5521 [4 per cell]
Tl 0.1766 0.7500 0.7833 [4 per cell]
Tl 0.1951 0.7500 0.3749 [4 per cell]
Au 0.0557 0.7500 0.3070 [4 per cell]
Au 0.2429 0.2500 0.5784 [4 per cell]

- E above lowest polymorph: 0 kJ/mol of formula units
- Crystal system: orthorhombic
- ρ: 10.795 g/cm3
- E_form: -0.103 eV per atom
- Calculated total energy: -72.235 eV for the cell shown

=====

An optimized crystal structure of NaTl3Au3. Source: Alexandria via LeMat-Bulk, functional PBE.

Cell lengths 7.9129, 7.9129, 7.9129 Å; angles 90.00, 90.00, 90.00 degrees
Space group Pm-3n (No. 223)
Inequivalent atoms, fractional coordinates:
Na 0.0000 0.0000 0.0000 [2 per cell]
Tl 0.0000 0.2500 0.5000 [6 per cell]
Au 0.0000 0.5000 0.2500 [6 per cell]

- Crystal system: cubic
- ρ: 8.225 g/cm3
- E_form: 0.130 eV per atom
- Calculated total energy: -34.686 eV for the cell shown